This record from the Alexandria database describes a relaxed structure of TbThNp2P4. The functional is PBE-GGA.

Summary:
Magnetic moment in μB/f.u.: 7.71
Space-group type: P2/m, No. 10
DFT formation energy in meV per atom: -1222

a b c (Å): 4.040 6.986 6.958
angles (deg): 109.59 90.00 90.00
Element x y z (fractional)
Tb1 0.000 0.000 0.000
Th1 0.500 0.500 0.000
Np1 0.500 0.000 0.500
Np2 0.000 0.500 0.500
P1 0.500 0.250 0.260
P2 0.500 0.750 0.740
P3 0.000 0.242 0.738
P4 0.000 0.758 0.262